Density functional theory data (PBE-GGA) for an optimized crystal structure of YSc3Ag2.

The structure belongs to space group Pmc2_1 (No. 26); the cell edges are 4.805, 8.630 and 6.741 Å and the angles 90.00°, 90.00° and 90.00°. The inequivalent atoms are Y at (0.000, 0.062, 0.000), Sc at (0.000, 0.331, 0.634), Sc at (0.500, 0.184, 0.329), Sc at (0.500, 0.440, 0.961), Ag at (0.000, 0.357, 0.225) and Ag at (0.500, 0.151, 0.737).

As for the formation energy: -187 meV/atom. The calculation puts the density of states at the Fermi level at 6.81 states/eV/f.u. As for the excess energy over the best structure of this formula in the dataset: 0 meV per atom.



Density functional theory data (PBE-GGA) for an optimized crystal structure of Y3Sc2Ag2.

The structure belongs to space group Cmmm (No. 65); the cell edges are 4.776, 21.771 and 3.402 Å and the angles 90.00°, 90.00° and 90.00°. The inequivalent atoms are Y at (0.000, 0.000, 0.000), Y at (0.000, 0.149, 0.000), Sc at (0.000, 0.287, 0.500) and Ag at (0.000, 0.427, 0.500).

As for the formation energy: -10 meV/atom. The calculation puts the density of states at the Fermi level at 8.34 states/eV/f.u.



Density functional theory data (PBE-GGA) for an optimized crystal structure of YScAg4.

The structure belongs to space group C2/m (No. 12); the cell edges are 5.184, 9.146 and 5.167 Å and the angles 90.00°, 90.24° and 90.00°. The inequivalent atoms are Y at (0.000, 0.000, 0.000), Sc at (0.000, 0.500, 0.500), Ag at (0.000, 0.172, 0.500) and Ag at (0.000, 0.335, 0.000).

As for the formation energy: -291 meV/atom. The calculation puts the density of states at the Fermi level at 3.02 states/eV/f.u. As for the excess energy over the best structure of this formula in the dataset: 6 meV per atom.



Density functional theory data (PBE-GGA) for an optimized crystal structure of YScZnAg2.

The structure belongs to space group P4/mmm (No. 123); the cell edges are 5.352, 5.352 and 5.598 Å and the angles 90.00°, 90.00° and 90.00°. The inequivalent atoms are Y at (0.000, 0.000, 0.000), Sc at (0.000, 0.000, 0.500), Zn at (0.500, 0.500, 0.500) and Ag at (0.000, 0.500, 0.000).

As for the formation energy: 1075 meV/atom. The calculation puts the density of states at the Fermi level at 4.28 states/eV/f.u.



Density functional theory data (PBE-GGA) for an optimized crystal structure of ScZn6Ag6.

The structure belongs to space group Immm (No. 71); the cell edges are 5.167, 9.143 and 9.240 Å and the angles 90.00°, 90.00° and 90.00°. The inequivalent atoms are Sc at (0.000, 0.000, 0.000), Zn at (0.000, 0.500, 0.270), Zn at (0.250, 0.250, 0.250), Ag at (0.000, 0.000, 0.345), Ag at (0.000, 0.316, 0.500) and Ag at (0.000, 0.343, 0.000).

As for the formation energy: -110 meV/atom. The calculation puts the density of states at the Fermi level at 5.39 states/eV/f.u.



Density functional theory data (PBE-GGA) for an optimized crystal structure of ScZn2Ag6.

The structure belongs to space group C2/c (No. 15); the cell edges are 11.812, 7.317 and 8.850 Å and the angles 90.00°, 122.46° and 90.00°. The inequivalent atoms are Sc at (0.000, 0.141, 0.250), Zn at (0.213, 0.417, 0.521), Ag at (0.081, 0.491, 0.683), Ag at (0.124, 0.208, 0.979) and Ag at (0.153, 0.122, 0.666).

As for the formation energy: -66 meV/atom. The calculation puts the density of states at the Fermi level at 3.71 states/eV/f.u.



- density of states at the Fermi level of number 6 (ScZn2Ag6)?
  3.71 states/eV/f.u.



- The highest density of states at the Fermi level belongs to which entry?
  Y3Sc2Ag2



Repeat the third record exactly.
Density functional theory data (PBE-GGA) for an optimized crystal structure of YScAg4.

The structure belongs to space group C2/m (No. 12); the cell edges are 5.184, 9.146 and 5.167 Å and the angles 90.00°, 90.24° and 90.00°. The inequivalent atoms are Y at (0.000, 0.000, 0.000), Sc at (0.000, 0.500, 0.500), Ag at (0.000, 0.172, 0.500) and Ag at (0.000, 0.335, 0.000).

As for the formation energy: -291 meV/atom. The calculation puts the density of states at the Fermi level at 3.02 states/eV/f.u. As for the excess energy over the best structure of this formula in the dataset: 6 meV per atom.



- Which value of density of states at the Fermi level does entry 3 give?
  3.02 states/eV/f.u.